DFT (PBE with a Hubbard U) results for a relaxed structure of BaTl2FeF6.

Lattice parameters (Å, degrees): 6.135 6.816 11.125 90.00 123.05 90.00
Space group P2_1/c (No. 14)
Unique sites:
1 Ba 0.000 0.000 0.000 [2 per cell]
2 Tl 0.223 0.038 0.728 [4 per cell]
3 Fe 0.500 0.000 0.500 [2 per cell]
4 F 0.187 0.166 0.484 [4 per cell]
5 F 0.278 0.749 0.957 [4 per cell]
6 F 0.343 0.042 0.274 [4 per cell]

## Properties
VASP energy, eV/atom: -4.916
DOS(E_F), states/eV per atom: 0.000
Total magnetization, μB/cell: 8.0
Density, g/cm³: 6.10